i | Entry from Alexandria: crystalline Lu2ScIn at its relaxed geometry (GGA-PBE).

Properties
**Symmetry**: Fm-3m
**Crystal system**: cubic

Cell: 5.2608 5.2608 5.2608 Å, 60.00 60.00 60.00°
Atoms (fractional coordinates):
Lu 0.2500 0.2500 0.2500
Lu 0.7500 0.7500 0.7500
Sc 0.0000 0.0000 0.0000
In 0.5000 0.5000 0.5000

***

ii | Entry from Alexandria: crystalline Lu2ScIn at its relaxed geometry (GGA-PBE).

Properties
**Symmetry**: P4/mmm
**Crystal system**: tetragonal

Cell: 4.6871 4.6871 4.6477 Å, 90.00 90.00 90.00°
Atoms (fractional coordinates):
Lu 0.0000 0.5000 0.0000
Lu 0.5000 0.0000 0.0000
Sc 0.0000 0.0000 0.5000
In 0.5000 0.5000 0.5000

***

The structure with the least stability is i.